AgP2Au | PBE | relaxed

Calculated values
Its distance to the lowest polymorph of the same formula is 378 meV/atom. Its total energy is -15.0 eV/f.u. The symmetry is P4/mmm, No. 123. Its calculated density is 8.978 g/cm3. The density of states at the Fermi level is 1.7 states/eV/f.u.

Cell lengths 4.2144, 4.2144, 3.8193 Å; angles 90.00, 90.00, 90.00 degrees
With the nearest neighbours (Å) after each atom.
Fractional coordinates of all 4 atoms:
Ag1 0.0000 0.0000 0.0000  8 P 2.84, 4 Au 2.98
P1 0.0000 0.5000 0.5000  4 Ag 2.84, 4 Au 2.84, 4 P 2.98
P2 0.5000 0.0000 0.5000  4 Ag 2.84, 4 Au 2.84, 4 P 2.98
Au1 0.5000 0.5000 0.0000  8 P 2.84, 4 Ag 2.98

=====

Ag2PAu | PBE | relaxed

Calculated values
Its total energy is -13.2 eV/f.u. The symmetry is I-42d, No. 122. Its calculated density is 9.811 g/cm3. The density of states at the Fermi level is 0.7 states/eV/f.u.

Cell lengths 5.9430, 5.9430, 5.9430 Å; angles 101.53, 101.53, 126.88 degrees
With the nearest neighbours (Å) after each atom.
Fractional coordinates of all 8 atoms:
Ag1 0.0882 0.6250 0.9632  2 P 2.56, 2 Ag 2.71
Ag2 0.3750 0.3382 0.4632  2 P 2.56, 2 Ag 2.71
Ag3 0.6618 0.1250 0.0368  2 P 2.56, 2 Ag 2.71
Ag4 0.8750 0.9118 0.5368  2 P 2.56, 2 Ag 2.71
P1 0.0000 0.0000 0.0000  4 Ag 2.56, 2 Au 2.66
P2 0.7500 0.2500 0.5000  4 Ag 2.56, 2 Au 2.66
Au1 0.2500 0.7500 0.5000  2 P 2.66, 4 Ag 2.94
Au2 0.5000 0.5000 0.0000  2 P 2.66, 4 Ag 2.94

=====

Ag2PAu | PBE | relaxed

Calculated values
Its total energy is -13.3 eV/f.u. The symmetry is P4/mmm, No. 123. Its calculated density is 10.390 g/cm3. The density of states at the Fermi level is 1.0 states/eV/f.u.

Cell lengths 4.8744, 4.8744, 2.9844 Å; angles 90.00, 90.00, 90.00 degrees
With the nearest neighbours (Å) after each atom.
Fractional coordinates of all 4 atoms:
Ag1 0.0000 0.5000 0.0000  4 P 2.86, 4 Au 2.86, 2 Ag 2.98
Ag2 0.5000 0.0000 0.0000  4 P 2.86, 4 Au 2.86, 2 Ag 2.98
P1 0.0000 0.0000 0.5000  8 Ag 2.86, 2 P 2.98
Au1 0.5000 0.5000 0.5000  8 Ag 2.86, 2 Au 2.98

=====

AgPAu2 | PBE | relaxed

Calculated values
Its total energy is -14.0 eV/f.u. The symmetry is Immm, No. 71. Its calculated density is 12.062 g/cm3. The density of states at the Fermi level is 1.3 states/eV/f.u.

Cell lengths 6.1030, 6.1030, 6.1030 Å; angles 151.08, 137.89, 51.89 degrees
With the nearest neighbours (Å) after each atom.
Fractional coordinates of all 4 atoms:
Ag1 0.0000 0.0000 0.0000  4 P 2.67
P1 0.5000 0.5000 0.0000  4 Au 2.65, 4 Ag 2.67
Au1 0.3026 0.8026 0.5000  2 P 2.65, 4 Au 2.91
Au2 0.6974 0.1974 0.5000  2 P 2.65, 4 Au 2.91